# Na2LiBe2F7 PBEsol optimized geometry
data_Na2LiBe2F7
_chemical_formula_sum 'Na4 Li2 Be4 F14'
_cell_length_a 4.7804
_cell_length_b 7.5987
_cell_length_c 7.5987
_cell_angle_alpha 90.00
_cell_angle_beta 90.00
_cell_angle_gamma 90.00
_space_group_name_H-M_alt 'P 1'
_space_group_IT_number 1
loop_
_space_group_symop_operation_xyz
'x,y,z'
loop_
_atom_site_label
_atom_site_type_symbol
_atom_site_fract_x
_atom_site_fract_y
_atom_site_fract_z
Na1 Na 0.4939 0.8339 0.6661
Na2 Na 0.5061 0.3339 0.8339
Na3 Na 0.5061 0.6661 0.1661
Na4 Na 0.4939 0.1661 0.3339
Li1 Li 0.0000 0.5000 0.5000
Li2 Li 0.0000 0.0000 0.0000
Be1 Be 0.9308 0.8589 0.3589
Be2 Be 0.0692 0.3589 0.1411
Be3 Be 0.9308 0.1411 0.6411
Be4 Be 0.0692 0.6411 0.8589
F1 F 0.2074 0.5832 0.6845
F2 F 0.2074 0.4168 0.3155
F3 F 0.7926 0.3155 0.5832
F4 F 0.7926 0.6845 0.4168
F5 F 0.8197 0.0000 0.5000
F6 F 0.1803 0.5000 0.0000
F7 F 0.7506 0.3575 0.1425
F8 F 0.2494 0.8575 0.3575
F9 F 0.2494 0.1425 0.6425
F10 F 0.7506 0.6425 0.8575
F11 F 0.7926 0.0832 0.8155
F12 F 0.2074 0.1845 0.0832
F13 F 0.2074 0.8155 0.9168
F14 F 0.7926 0.9168 0.1845
# **DOS(E_F)**: 0.00 states/eV per cell
# **M_tot**: 0.01 μB/atom
# **Raw formation energy**: -3.0808 eV per atom